# YAg4Ru GGA-PBE optimized geometry
data_YAg4Ru
_chemical_formula_sum 'Y4 Ag16 Ru4'
_cell_length_a 7.713
_cell_length_b 7.713
_cell_length_c 7.713
_cell_angle_alpha 90.00
_cell_angle_beta 90.00
_cell_angle_gamma 90.00
_symmetry_space_group_name_H-M 'F -4 3 m'
_symmetry_Int_Tables_number 216
_symmetry_space_group_name_Hall 'F -4 2 3'
loop_
_atom_site_label
_atom_site_fract_x
_atom_site_fract_y
_atom_site_fract_z
Y1 0.000 0.000 0.000
Ag1 0.124 0.124 0.624
Ru1 0.250 0.250 0.250
# - ρ (g/cm³) = 9.00
# - electronic total energy (eV/cell) = -104.664
# - D(E_F) (states/eV/cell) = 17.68